5
Lattice="4.766 0.000 0.000 0.000 4.766 0.000 0.000 0.000 4.766" Properties=species:S:1:pos:R:3 comment="PBE TaCu3Si, relaxed" de_polymorph_mev_per_atom=974 volume_a3_per_cell=108.3 formation_energy_uncorrected_kj_per_mol_fu=822 n_ef_per_ev_cell=5.3 density_g_cm3=6.13 total_magnetization_mub_per_fu=0.00 pbc="T T T"
Ta 0.000 0.000 0.000
Cu 0.000 0.000 2.383
Cu 0.000 2.383 0.000
Cu 2.383 0.000 0.000
Si 2.383 2.383 2.383

14
Lattice="1.842 -6.029 0.000 1.842 6.029 0.000 0.000 0.000 12.640" Properties=species:S:1:pos:R:3 comment="PBE DyMg2S4, relaxed" volume_a3_per_cell=280.8 formation_energy_uncorrected_kj_per_mol_fu=-958 n_ef_per_ev_cell=7.5 density_g_cm3=4.01 total_magnetization_mub_per_fu=0.00 pbc="T T T"
Dy 1.842 4.627 9.480
Dy 1.842 -4.627 3.160
Mg 1.842 1.600 7.180
Mg 1.842 1.600 11.780
Mg 1.842 -1.600 0.860
Mg 1.842 -1.600 5.460
S 0.000 0.000 0.000
S 0.000 0.000 6.320
S 1.842 2.637 1.481
S 1.842 2.637 4.839
S 1.842 0.599 9.480
S 1.842 -0.599 3.160
S 1.842 -2.637 7.801
S 1.842 -2.637 11.158

7
Lattice="2.001 1.155 7.997 -2.001 1.155 7.997 0.000 -2.311 7.997" Properties=species:S:1:pos:R:3 comment="PBE NaCu4S2, relaxed" volume_a3_per_cell=110.9 formation_energy_uncorrected_kj_per_mol_fu=-162 n_ef_per_ev_cell=1.7 density_g_cm3=5.11 total_magnetization_mub_per_fu=0.00 pbc="T T T"
Na 0.000 0.000 0.000
Cu 0.000 0.000 4.049
Cu 0.000 0.000 10.635
Cu 0.000 0.000 13.355
Cu 0.000 0.000 19.941
S 0.000 0.000 6.275
S 0.000 0.000 17.715